1.
{"formula": "ThZrSc4", "functional": "PBE", "state": "relaxed", "lattice_angstrom": [[3.248, 0.000, 0.000], [-1.591, 6.116, 0.000], [-0.412, -2.633, 15.414]], "species": ["Th", "Th", "Zr", "Zr", "Sc", "Sc", "Sc", "Sc", "Sc", "Sc", "Sc", "Sc"], "fractional_positions": [[0.000, 0.000, 0.000], [0.500, 0.000, 0.500], [0.000, 0.500, 0.000], [0.500, 0.500, 0.500], [0.084, 0.179, 0.325], [0.124, 0.345, 0.662], [0.382, 0.653, 0.838], [0.410, 0.823, 0.175], [0.590, 0.177, 0.825], [0.618, 0.347, 0.162], [0.876, 0.655, 0.338], [0.916, 0.821, 0.675]], "de_polymorph_mev_per_atom": 48, "sg": "P-1, No. 2", "e_form_ev_per_atom": 0.085}

---

2.
{"formula": "Ba2Na2Ga", "functional": "PBE", "state": "relaxed", "lattice_angstrom": [[9.033, 0.000, 0.000], [0.000, 9.033, 0.000], [0.000, 0.000, 6.006]], "species": ["Ba", "Ba", "Ba", "Ba", "Na", "Na", "Na", "Na", "Ga", "Ga"], "fractional_positions": [[0.167, 0.333, 0.000], [0.333, 0.833, 0.000], [0.667, 0.167, 0.000], [0.833, 0.667, 0.000], [0.143, 0.643, 0.500], [0.357, 0.143, 0.500], [0.643, 0.857, 0.500], [0.857, 0.357, 0.500], [0.000, 0.000, 0.000], [0.500, 0.500, 0.000]], "de_polymorph_mev_per_atom": 294, "sg": "P4/mbm, No. 127", "e_form_ev_per_atom": 0.132}

---

3.
{"formula": "In2W", "functional": "PBE", "state": "relaxed", "lattice_angstrom": [[-3.470, 3.470, 2.844], [3.470, -3.470, 2.844], [3.470, 3.470, -2.844]], "species": ["In", "In", "In", "In", "W", "W"], "fractional_positions": [[0.204, 0.704, 0.908], [0.296, 0.204, 0.500], [0.704, 0.796, 0.500], [0.796, 0.296, 0.092], [0.250, 0.250, 0.000], [0.750, 0.750, 0.000]], "sg": "I4/mcm, No. 140", "e_form_ev_per_atom": 0.378}

---

4.
{"formula": "La2AsBr2", "functional": "PBE", "state": "relaxed", "lattice_angstrom": [[-2.773, 2.773, 5.061], [2.773, -2.773, 5.061], [2.773, 2.773, -5.061]], "species": ["La", "La", "As", "Br", "Br"], "fractional_positions": [[0.250, 0.750, 0.500], [0.750, 0.250, 0.500], [0.000, 0.000, 0.000], [0.350, 0.350, 0.000], [0.650, 0.650, 0.000]], "e_form_raw_ev_per_atom": -1.1305, "sg": "I4/mmm, No. 139"}

---

5.
{"formula": "Nd2YInC", "functional": "PBE", "state": "relaxed", "lattice_angstrom": [[5.139, 0.000, 0.000], [0.000, 5.139, 0.000], [0.000, 0.000, 4.942]], "species": ["Nd", "Nd", "Y", "In", "C"], "fractional_positions": [[0.000, 0.500, 0.000], [0.500, 0.000, 0.000], [0.000, 0.000, 0.500], [0.500, 0.500, 0.500], [0.000, 0.000, 0.000]], "sg": "P4/mmm, No. 123", "e_form_ev_per_atom": -0.382}

---

6.
{"formula": "Zn2SiPd3", "functional": "PBE", "state": "relaxed", "lattice_angstrom": [[2.099, -6.303, 0.000], [2.099, 6.303, 0.000], [-0.013, 0.000, 6.511]], "species": ["Zn", "Zn", "Zn", "Zn", "Si", "Si", "Pd", "Pd", "Pd", "Pd", "Pd", "Pd"], "fractional_positions": [[0.000, 0.000, 0.000], [0.000, 0.000, 0.500], [0.332, 0.668, 0.000], [0.668, 0.332, 0.000], [0.342, 0.658, 0.500], [0.658, 0.342, 0.500], [0.172, 0.826, 0.276], [0.174, 0.828, 0.724], [0.499, 0.499, 0.256], [0.501, 0.501, 0.744], [0.826, 0.172, 0.276], [0.828, 0.174, 0.724]], "e_form_raw_ev_per_atom": -0.5046, "sg": "C2/m, No. 12"}

---

no.,electronic total energy (eV per atom)
1,-6.80
2,-1.77
3,-5.77
4,-4.70
5,-5.97
6,-4.43